The following is a DFT calculation (PBE) of a relaxed structure of In2SiSb.

```
data_In2SiSb
_chemical_formula_sum 'In4 Si2 Sb2'
_space_group_name_H-M_alt 'C m m m'
_space_group_IT_number 65
_space_group_name_Hall '-C 2 2'
_cell_length_a 6.357
_cell_length_b 9.572
_cell_length_c 3.254
_cell_angle_alpha 90.00
_cell_angle_beta 90.00
_cell_angle_gamma 90.00
loop_
_atom_site_label
_atom_site_fract_x
_atom_site_fract_y
_atom_site_fract_z
In1 0.250 0.250 0.000
Si1 0.000 0.000 0.500
Sb1 0.000 0.500 0.500
```

ΔE to the lowest computed polymorph   0.722 eV/f.u.
ΔE_f (raw)   344 meV per atom
DOS(E_F)   3.42 states/eV/cell

***

The following is a DFT calculation (PBE) of a relaxed structure of Y2ScGe.

```
data_Y2ScGe
_chemical_formula_sum 'Y8 Sc4 Ge4'
_space_group_name_H-M_alt 'I -4 2 d'
_space_group_IT_number 122
_space_group_name_Hall 'I -4 2bw'
_cell_length_a 8.437
_cell_length_b 8.437
_cell_length_c 6.078
_cell_angle_alpha 90.00
_cell_angle_beta 90.00
_cell_angle_gamma 90.00
loop_
_atom_site_label
_atom_site_fract_x
_atom_site_fract_y
_atom_site_fract_z
Y1 0.204 0.750 0.125
Sc1 0.000 0.000 0.500
Ge1 0.000 0.000 0.000
```

DFT total energy   -0.4443 Ry/atom
DOS(E_F)   16.29 states/eV/cell

***

The following is a DFT calculation (PBE) of a relaxed structure of La2TlCd2.

```
data_La2TlCd2
_chemical_formula_sum 'La8 Tl4 Cd8'
_space_group_name_H-M_alt 'C 1 2/m 1'
_space_group_IT_number 12
_space_group_name_Hall '-C 2y'
_cell_length_a 11.705
_cell_length_b 5.075
_cell_length_c 10.381
_cell_angle_alpha 90.00
_cell_angle_beta 109.43
_cell_angle_gamma 90.00
loop_
_atom_site_label
_atom_site_fract_x
_atom_site_fract_y
_atom_site_fract_z
La1 0.085 0.000 0.368
La2 0.171 0.000 0.057
Tl1 0.237 0.000 0.720
Cd1 0.009 0.500 0.861
Cd2 0.109 0.500 0.617
```

ΔE to the lowest computed polymorph   0.000 eV/f.u.
DOS(E_F)   22.21 states/eV/cell

***

The following is a DFT calculation (PBE) of a relaxed structure of Ba5Cd2N2.

```
data_Ba5Cd2N2
_chemical_formula_sum 'Ba10 Cd4 N4'
_space_group_name_H-M_alt 'C 1 2/m 1'
_space_group_IT_number 12
_space_group_name_Hall '-C 2y'
_cell_length_a 16.201
_cell_length_b 5.559
_cell_length_c 7.755
_cell_angle_alpha 90.00
_cell_angle_beta 95.40
_cell_angle_gamma 90.00
loop_
_atom_site_label
_atom_site_fract_x
_atom_site_fract_y
_atom_site_fract_z
Ba1 0.000 0.000 0.000
Ba2 0.139 0.000 0.581
Ba3 0.176 0.500 0.991
Cd1 0.022 0.500 0.327
N1 0.163 0.000 0.896
```

ΔE_f (raw)   -293 meV per atom
DOS(E_F)   13.34 states/eV/cell

***

The following is a DFT calculation (PBE) of a relaxed structure of LiAgOs.

```
data_LiAgOs
_chemical_formula_sum 'Li4 Ag4 Os4'
_space_group_name_H-M_alt 'F m m 2'
_space_group_IT_number 42
_space_group_name_Hall 'F 2 -2'
_cell_length_a 2.789
_cell_length_b 4.561
_cell_length_c 14.332
_cell_angle_alpha 90.00
_cell_angle_beta 90.00
_cell_angle_gamma 90.00
loop_
_atom_site_label
_atom_site_fract_x
_atom_site_fract_y
_atom_site_fract_z
Li1 0.000 0.000 0.000
Ag1 0.000 0.000 0.665
Os1 0.000 0.000 0.345
```

ΔE to the lowest computed polymorph   0.098 eV/f.u.
DOS(E_F)   3.17 states/eV/cell

***

The following is a DFT calculation (PBE) of a relaxed structure of Pr2ZrNi.

```
data_Pr2ZrNi
_chemical_formula_sum 'Pr6 Zr3 Ni3'
_space_group_name_H-M_alt 'R -3 m'
_space_group_IT_number 166
_space_group_name_Hall '-R 3 2"'
_cell_length_a 3.4692
_cell_length_b 3.4692
_cell_length_c 31.2151
_cell_angle_alpha 90.00
_cell_angle_beta 90.00
_cell_angle_gamma 120.00
loop_
_atom_site_label
_atom_site_fract_x
_atom_site_fract_y
_atom_site_fract_z
Pr1 0.0000 0.0000 0.1039
Zr1 0.0000 0.0000 0.0000
Ni1 0.0000 0.0000 0.5000
```

DFT total energy   -0.4116 Ry/atom
DOS(E_F)   12.83 states/eV/cell